VASP calculation (PBE+U) on a relaxed Cr2InCoO crystal.

The structure in POSCAR format:
```
Cr2InCoO
1.0
5.293 0.000 0.000
0.000 5.293 0.000
0.000 0.000 3.488
Cr In Co O
2 1 1 1
Cartesian
0.000 2.646 0.000
2.646 0.000 0.000
0.000 0.000 1.744
2.646 2.646 0.000
2.646 2.646 1.744
```

Results
space group = P4/mmm
DFT total energy = -5.253 eV per atom
spin magnetization = 11.6 μB per cell